Record 1
# HoEr3Ir4

Crystalline HoEr3Ir4 at its relaxed geometry (PBE, Alexandria via LeMat-Bulk).

```
HoEr3Ir4
1.0
-2.562 1.646 1.259
-1.540 -4.079 2.199
5.313 2.243 7.882
Er Ir Ho
3 4 1
direct
0.500 0.000 0.250
0.500 0.500 0.500
0.500 0.000 0.750
0.000 0.500 0.251
0.000 0.500 0.749
0.000 0.000 0.500
0.000 0.000 0.000
0.500 0.500 0.000
```

Record 2
# HoErIr

Crystalline HoErIr at its relaxed geometry (PBE, Alexandria via LeMat-Bulk).

Computed properties:
E above lowest polymorph: 82 meV per atom

```
HoErIr
1.0
-3.464 -1.203 5.271
-4.645 -3.446 -3.839
3.865 -6.440 1.071
Er Ho Ir
4 4 4
direct
0.237 0.576 0.109
0.763 0.424 0.891
0.737 0.424 0.391
0.263 0.576 0.609
0.262 0.077 0.392
0.762 0.923 0.108
0.238 0.077 0.892
0.738 0.923 0.608
0.501 0.251 0.651
0.999 0.251 0.151
0.001 0.749 0.849
0.499 0.749 0.349
```

E, record by record: -7.58, -6.66 eV per atom
Energy relative to the elements, record by record: -871, -657 meV per atom
Magnetic moment, record by record: 0.0000, 0.0000 μB per atom